Material: Ta2MnRe
Method: DFT, PBE
State: relaxed

Summary:
SG: I4/mmm (139)
Calculated total energy in eV per atom: -11.645
Energy relative to the elements in kJ/mol of formula units: -121

Cell and atoms, written as POSCAR:
```
Ta2MnRe
1.0
4.449 0.000 0.000
0.000 4.449 0.000
0.000 0.000 6.279
Ta Mn Re
4 2 2
Direct
0.000 0.500 0.250
0.000 0.500 0.750
0.500 0.000 0.250
0.500 0.000 0.750
0.000 0.000 0.000
0.500 0.500 0.500
0.000 0.000 0.500
0.500 0.500 0.000
```